Entry from the Alexandria database: MgRu2Br after structural relaxation (PBE).

Cell lengths 6.4819, 6.4819, 6.4819 Å; angles 90.00, 90.00, 90.00 degrees
Last column: nearest neighbours and their distance in Å.
Atoms (fractional coordinates):
Mg: 0.0000 0.0000 0.0000  4 Br 2.81, 4 Ru 2.81
Mg: 0.0000 0.5000 0.5000  4 Br 2.81, 4 Ru 2.81
Mg: 0.5000 0.0000 0.5000  4 Br 2.81, 4 Ru 2.81
Mg: 0.5000 0.5000 0.0000  4 Br 2.81, 4 Ru 2.81
Ru: 0.0000 0.0000 0.5000  4 Br 2.81, 4 Ru 2.81
Ru: 0.0000 0.5000 0.0000  4 Br 2.81, 4 Ru 2.81
Ru: 0.2500 0.2500 0.2500  4 Ru 2.81, 4 Mg 2.81
Ru: 0.2500 0.7500 0.7500  4 Ru 2.81, 4 Mg 2.81
Ru: 0.5000 0.0000 0.0000  4 Br 2.81, 4 Ru 2.81
Ru: 0.5000 0.5000 0.5000  4 Br 2.81, 4 Ru 2.81
Ru: 0.7500 0.2500 0.7500  4 Ru 2.81, 4 Mg 2.81
Ru: 0.7500 0.7500 0.2500  4 Ru 2.81, 4 Mg 2.81
Br: 0.2500 0.2500 0.7500  4 Ru 2.81, 4 Mg 2.81
Br: 0.2500 0.7500 0.2500  4 Ru 2.81, 4 Mg 2.81
Br: 0.7500 0.2500 0.2500  4 Ru 2.81, 4 Mg 2.81
Br: 0.7500 0.7500 0.7500  4 Ru 2.81, 4 Mg 2.81

Summary:
The uncorrected formation energy comes out at 0.754 eV/atom. The value obtained for the excess energy over the best structure of this formula in the dataset is 639.0 meV per atom. The value obtained for the total energy is -4.701 eV per atom. The density of states at the Fermi level is 30.878 states/eV per cell.